1.
VASP calculation (GGA-PBE) on K3Ho3VTe8 after structural relaxation.

a b c (Å): 14.9188 8.5976 9.8915
angles (deg): 90.00 120.23 90.00
Space group C2/m (No. 12)
One atom of each set of equivalent atoms:
K1 0.0000 0.0000 0.0000
K2 0.2500 0.2500 0.0000
Ho1 0.0000 0.5000 0.5000
Ho2 0.2500 0.2500 0.5000
V1 0.0000 0.0000 0.5000
Te1 0.0124 0.2318 0.3055
Te2 0.2194 0.0000 0.6945
Te3 0.2367 0.5000 0.7100

Raw formation energy ... -1.10 eV/atom
Raw total energy ... -135.50 eV/cell
DOS at the Fermi energy ... 0.55 states/eV per atom
M_tot ... 0.09 μB per atom


2.
VASP calculation (GGA-PBE) on K2YHoTe4 after structural relaxation.

a b c (Å): 7.7751 4.4903 8.6390
angles (deg): 90.00 107.45 90.00
Space group P2/m (No. 10)
One atom of each set of equivalent atoms:
K1 0.0000 0.0000 0.0000
K2 0.5000 0.5000 0.0000
Y1 0.0000 0.5000 0.5000
Ho1 0.5000 0.0000 0.5000
Te1 0.2372 0.0000 0.7086
Te2 0.2653 0.5000 0.2920

Raw formation energy ... -1.40 eV/atom
Raw total energy ... -37.01 eV/cell
M_tot ... 0.00 μB per atom


3.
VASP calculation (GGA-PBE) on K3Y3HoTe8 after structural relaxation.

a b c (Å): 8.7784 8.7784 25.5428
angles (deg): 90.00 90.00 120.00
Space group R-3m (No. 166, hexagonal axes)
One atom of each set of equivalent atoms:
K1 0.0000 0.5000 0.0000
Y1 0.0000 0.5000 0.5000
Ho1 0.0000 0.0000 0.5000
Te1 0.0000 0.0000 0.2365
Te2 0.0009 0.5004 0.7640

Raw formation energy ... -1.33 eV/atom
Raw total energy ... -217.10 eV/cell
DOS at the Fermi energy ... 0.44 states/eV per atom
M_tot ... 0.00 μB per atom


4.
VASP calculation (GGA-PBE) on K3YHo2Te6 after structural relaxation.

a b c (Å): 7.7700 13.4584 8.6397
angles (deg): 90.00 107.45 90.00
Space group C2/m (No. 12)
One atom of each set of equivalent atoms:
K1 0.0000 0.0000 0.0000
K2 0.0000 0.3335 0.0000
Y1 0.0000 0.5000 0.5000
Ho1 0.0000 0.1667 0.5000
Te1 0.2348 0.0000 0.7080
Te2 0.2366 0.3327 0.7080

Raw formation energy ... -1.40 eV/atom
Raw total energy ... -109.06 eV/cell
M_tot ... 0.00 μB per atom


5.
VASP calculation (GGA-PBE) on K3Y2HoTe6 after structural relaxation.

a b c (Å): 7.7809 13.4774 8.6412
angles (deg): 90.00 107.46 90.00
Space group C2/m (No. 12)
One atom of each set of equivalent atoms:
K1 0.0000 0.0000 0.0000
K2 0.0000 0.3330 0.0000
Y1 0.0000 0.1666 0.5000
Ho1 0.0000 0.5000 0.5000
Te1 0.2355 0.3340 0.7084
Te2 0.2375 0.0000 0.7085

Raw formation energy ... -1.41 eV/atom
Raw total energy ... -113.02 eV/cell
M_tot ... 0.00 μB per atom


6.
VASP calculation (GGA-PBE) on K3YHo3Te8 after structural relaxation.

a b c (Å): 8.7554 8.7554 25.5254
angles (deg): 90.00 90.00 120.00
Space group R-3m (No. 166, hexagonal axes)
One atom of each set of equivalent atoms:
K1 0.0000 0.5000 0.0000
Y1 0.0000 0.0000 0.5000
Ho1 0.0000 0.5000 0.5000
Te1 0.0000 0.0000 0.2360
Te2 0.0036 0.5018 0.7640

Raw formation energy ... -1.32 eV/atom
Raw total energy ... -205.30 eV/cell
DOS at the Fermi energy ... 0.43 states/eV per atom
M_tot ... 0.00 μB per atom


7.
VASP calculation (GGA-PBE) on K4YHo3Te8 after structural relaxation.

a b c (Å): 8.9696 8.9696 24.7102
angles (deg): 90.00 90.00 120.00
Space group R-3m (No. 166, hexagonal axes)
One atom of each set of equivalent atoms:
K1 0.0000 0.0000 0.0000
K2 0.0000 0.5000 0.0000
Y1 0.0000 0.0000 0.5000
Ho1 0.0000 0.5000 0.5000
Te1 0.0000 0.0000 0.2358
Te2 0.0011 0.5005 0.7640

Raw formation energy ... -1.40 eV/atom
Raw total energy ... -216.14 eV/cell
M_tot ... 0.00 μB per atom


8.
VASP calculation (GGA-PBE) on KY3Ho2Te6 after structural relaxation.

a b c (Å): 19.3064 4.3750 8.9721
angles (deg): 90.00 103.73 90.00
Space group C2/m (No. 12)
One atom of each set of equivalent atoms:
K1 0.0000 0.0000 0.0000
Y1 0.0000 0.0000 0.5000
Y2 0.1598 0.5000 0.8176
Ho1 0.1687 0.5000 0.3428
Te1 0.0045 0.5000 0.2655
Te2 0.1665 0.0000 0.5809
Te3 0.1751 0.0000 0.0877

Raw formation energy ... -1.29 eV/atom
Raw total energy ... -128.03 eV/cell
DOS at the Fermi energy ... 0.41 states/eV per atom
M_tot ... 0.00 μB per atom


9.
VASP calculation (GGA-PBE) on K2HoZnTe4 after structural relaxation.

a b c (Å): 8.4842 8.4842 7.5985
angles (deg): 90.00 90.00 90.00
Space group I-42m (No. 121)
One atom of each set of equivalent atoms:
K1 0.0000 0.5000 0.0000
Ho1 0.0000 0.0000 0.0000
Zn1 0.0000 0.0000 0.5000
Te1 0.1757 0.1757 0.2761

Raw formation energy ... -0.83 eV/atom
Raw total energy ... -54.57 eV/cell
DOS at the Fermi energy ... 1.04 states/eV per atom
M_tot ... 0.00 μB per atom


10.
VASP calculation (GGA-PBE) on K2Ho2ZrTe6 after structural relaxation.

a b c (Å): 7.5104 12.9422 8.8463
angles (deg): 90.00 106.96 90.00
Space group C2/m (No. 12)
One atom of each set of equivalent atoms:
K1 0.0000 0.1701 0.0000
Ho1 0.0000 0.3321 0.5000
Zr1 0.0000 0.0000 0.5000
Te1 0.2322 0.1591 0.7044
Te2 0.2479 0.5000 0.7023

Raw formation energy ... -1.23 eV/atom
Raw total energy ... -104.62 eV/cell
M_tot ... 0.00 μB per atom


11.
VASP calculation (GGA-PBE) on K4Ho3ZrTe8 after structural relaxation.

a b c (Å): 8.8270 8.8270 24.7917
angles (deg): 90.00 90.00 120.00
Space group R-3m (No. 166, hexagonal axes)
One atom of each set of equivalent atoms:
K1 0.0000 0.0000 0.0000
K2 0.0000 0.5000 0.0000
Ho1 0.0000 0.5000 0.5000
Zr1 0.0000 0.0000 0.5000
Te1 0.0000 0.0000 0.2366
Te2 0.0093 0.5047 0.2352

Raw formation energy ... -1.27 eV/atom
Raw total energy ... -216.20 eV/cell
DOS at the Fermi energy ... 0.26 states/eV per atom
M_tot ... 0.05 μB per atom


12.
VASP calculation (GGA-PBE) on KHo2Th after structural relaxation.

a b c (Å): 3.6019 3.6019 39.3072
angles (deg): 90.00 90.00 120.00
Space group R-3m (No. 166, hexagonal axes)
One atom of each set of equivalent atoms:
K1 0.0000 0.0000 0.0000
Ho1 0.0000 0.0000 0.0967
Th1 0.0000 0.0000 0.5000

Raw total energy ... -50.24 eV/cell
DOS at the Fermi energy ... 1.38 states/eV per atom
M_tot ... 0.00 μB per atom
Energy of formation from the pure elements ... 0.23 eV/atom


13.
VASP calculation (GGA-PBE) on KHoTl2 after structural relaxation.

a b c (Å): 3.7304 3.7304 32.5905
angles (deg): 90.00 90.00 120.00
Space group R-3m (No. 166, hexagonal axes)
One atom of each set of equivalent atoms:
K1 0.0000 0.0000 0.0000
Ho1 0.0000 0.0000 0.5000
Tl1 0.0000 0.0000 0.2428

Polymorph energy (0 for the lowest one) ... 0.56 eV per formula unit
Raw total energy ... -31.88 eV/cell
DOS at the Fermi energy ... 1.01 states/eV per atom
M_tot ... 0.00 μB per atom
Energy of formation from the pure elements ... -0.05 eV/atom


14.
VASP calculation (GGA-PBE) on KHoTl2 after structural relaxation.

a b c (Å): 3.8527 3.8527 8.6332
angles (deg): 90.00 90.00 90.00
Space group P4/mmm (No. 123)
One atom of each set of equivalent atoms:
K1 0.0000 0.0000 0.0000
Ho1 0.0000 0.0000 0.5000
Tl1 0.5000 0.5000 0.2929

Polymorph energy (0 for the lowest one) ... 0.00 eV per formula unit
Raw total energy ... -11.19 eV/cell
DOS at the Fermi energy ... 0.62 states/eV per atom
M_tot ... 0.02 μB per atom
Energy of formation from the pure elements ... -0.19 eV/atom


15.
VASP calculation (GGA-PBE) on KHo2Tl9 after structural relaxation.

a b c (Å): 4.8489 4.8489 14.6045
angles (deg): 90.00 90.00 90.00
Space group P4/mmm (No. 123)
One atom of each set of equivalent atoms:
K1 0.0000 0.0000 0.0000
Ho1 0.0000 0.0000 0.3459
Tl1 0.0000 0.5000 0.1796
Tl2 0.0000 0.5000 0.5000
Tl3 0.5000 0.5000 0.0000
Tl4 0.5000 0.5000 0.3358

Raw total energy ... -33.16 eV/cell
DOS at the Fermi energy ... 0.64 states/eV per atom
M_tot ... 0.00 μB per atom
Energy of formation from the pure elements ... -0.13 eV/atom


16.
VASP calculation (GGA-PBE) on KHo4Tl5 after structural relaxation.

a b c (Å): 3.8140 3.8140 19.8892
angles (deg): 90.00 90.00 90.00
Space group P4/mmm (No. 123)
One atom of each set of equivalent atoms:
K1 0.0000 0.0000 0.0000
Ho1 0.0000 0.0000 0.2154
Ho2 0.0000 0.0000 0.4050
Tl1 0.5000 0.5000 0.1283
Tl2 0.5000 0.5000 0.3116
Tl3 0.5000 0.5000 0.5000

Raw total energy ... -34.00 eV/cell
DOS at the Fermi energy ... 0.56 states/eV per atom
M_tot ... 0.00 μB per atom
Energy of formation from the pure elements ... -0.28 eV/atom


17.
VASP calculation (GGA-PBE) on KHoTl2 after structural relaxation.

a b c (Å): 7.8909 7.8909 7.8909
angles (deg): 90.00 90.00 90.00
Space group Fm-3m (No. 225)
One atom of each set of equivalent atoms:
K1 0.0000 0.0000 0.0000
Ho1 0.0000 0.0000 0.5000
Tl1 0.2500 0.2500 0.2500

Polymorph energy (0 for the lowest one) ... 0.55 eV per formula unit
Raw total energy ... -42.56 eV/cell
DOS at the Fermi energy ... 0.52 states/eV per atom
M_tot ... 0.00 μB per atom
Energy of formation from the pure elements ... -0.06 eV/atom


18.
VASP calculation (GGA-PBE) on KHoTm2 after structural relaxation.

a b c (Å): 3.5320 3.5320 39.3944
angles (deg): 90.00 90.00 120.00
Space group R-3m (No. 166, hexagonal axes)
One atom of each set of equivalent atoms:
K1 0.0000 0.0000 0.0000
Ho1 0.0000 0.0000 0.5000
Tm1 0.0000 0.0000 0.0961

Raw total energy ... -40.69 eV/cell
DOS at the Fermi energy ... 0.99 states/eV per atom
M_tot ... 0.00 μB per atom
Energy of formation from the pure elements ... 0.26 eV/atom


19.
VASP calculation (GGA-PBE) on La4Ho3 after structural relaxation.

a b c (Å): 17.3475 3.5387 8.9024
angles (deg): 90.00 117.18 90.00
Space group C2/m (No. 12)
One atom of each set of equivalent atoms:
La1 0.0807 0.0000 0.2103
La2 0.1401 0.5000 0.9090
Ho1 0.0000 0.0000 0.5000
Ho2 0.2200 0.0000 0.6421

Polymorph energy (0 for the lowest one) ... 0.68 eV per formula unit
Raw total energy ... -65.12 eV/cell
DOS at the Fermi energy ... 1.82 states/eV per atom
M_tot ... 0.00 μB per atom
Energy of formation from the pure elements ... 0.13 eV/atom


20.
VASP calculation (GGA-PBE) on La3Ho after structural relaxation.

a b c (Å): 8.3296 8.3296 8.3296
angles (deg): 90.00 90.00 90.00
Space group Fm-3m (No. 225)
One atom of each set of equivalent atoms:
La1 0.0000 0.0000 0.0000
La2 0.2500 0.2500 0.2500
Ho1 0.0000 0.0000 0.5000

Raw total energy ... -75.29 eV/cell
DOS at the Fermi energy ... 2.97 states/eV per atom
M_tot ... 0.02 μB per atom
Energy of formation from the pure elements ... 0.13 eV/atom


21.
VASP calculation (GGA-PBE) on La3Ho4 after structural relaxation.

a b c (Å): 15.1527 15.1527 7.1264
angles (deg): 90.00 90.00 120.00
Space group R-3 (No. 148, hexagonal axes)
One atom of each set of equivalent atoms:
La1 0.0521 0.8267 0.2200
Ho1 0.0000 0.0000 0.0000
Ho2 0.0000 0.0000 0.5000
Ho3 0.0554 0.7995 0.6943

Raw total energy ... -195.28 eV/cell
DOS at the Fermi energy ... 1.34 states/eV per atom
M_tot ... 0.00 μB per atom
Energy of formation from the pure elements ... 0.08 eV/atom


22.
VASP calculation (GGA-PBE) on La4Ho after structural relaxation.

a b c (Å): 3.7125 3.7125 25.8425
angles (deg): 90.00 90.00 90.00
Space group I4/mmm (No. 139)
One atom of each set of equivalent atoms:
La1 0.0000 0.0000 0.0969
La2 0.0000 0.0000 0.3019
Ho1 0.0000 0.0000 0.5000

Polymorph energy (0 for the lowest one) ... 0.00 eV per formula unit
Raw total energy ... -48.37 eV/cell
DOS at the Fermi energy ... 1.87 states/eV per atom
M_tot ... 0.00 μB per atom
Energy of formation from the pure elements ... 0.02 eV/atom


23.
VASP calculation (GGA-PBE) on LaHo5 after structural relaxation.

a b c (Å): 6.1658 10.6755 6.1739
angles (deg): 90.00 109.42 90.00
Space group P2_1/m (No. 11)
One atom of each set of equivalent atoms:
La1 0.2493 0.2500 0.9999
Ho1 0.2498 0.0821 0.4999
Ho2 0.2503 0.5828 0.0002
Ho3 0.2504 0.7500 0.5003

Polymorph energy (0 for the lowest one) ... 0.00 eV per formula unit
Raw total energy ... -55.33 eV/cell
DOS at the Fermi energy ... 1.35 states/eV per atom
M_tot ... 0.00 μB per atom
Energy of formation from the pure elements ... 0.03 eV/atom